The following is a DFT calculation (PBE) of a relaxed La2Ce3PuN6 crystal.

As for the total energy: -9.05 eV/atom. For the density of states at the Fermi level, the calculation gives 29.029 states/eV per cell.

It has space group C2/m (No. 12), with a = 6.262 Å, b = 10.846 Å, c = 6.251 Å, α = 90.00°, β = 109.53° and γ = 90.00°. Symmetry generates all atoms from La at (0.000, 0.167, 0.000), Ce at (0.000, 0.000, 0.500), Ce at (0.000, 0.335, 0.500), Pu at (0.000, 0.500, 0.000), N at (0.228, 0.500, 0.737) and N at (0.244, 0.343, 0.262).


The following is a DFT calculation (PBE) of a relaxed LaCe3Pu2N6 crystal.

As for the total energy: -9.83 eV/atom. For the density of states at the Fermi level, the calculation gives 29.556 states/eV per cell.

It has space group C2/m (No. 12), with a = 6.198 Å, b = 10.714 Å, c = 6.165 Å, α = 90.00°, β = 109.60° and γ = 90.00°. Symmetry generates all atoms from La at (0.000, 0.000, 0.000), Ce at (0.000, 0.166, 0.500), Ce at (0.000, 0.500, 0.500), Pu at (0.000, 0.333, 0.000), N at (0.226, 0.500, 0.245) and N at (0.239, 0.323, 0.750).


The following is a DFT calculation (PBE) of a relaxed LaCePu2N4 crystal.

As for the total energy: -10.43 eV/atom. For the density of states at the Fermi level, the calculation gives 14.623 states/eV per cell.

It has space group P2/m (No. 10), with a = 6.169 Å, b = 3.554 Å, c = 6.169 Å, α = 90.00°, β = 109.48° and γ = 90.00°. Symmetry generates all atoms from La at (0.000, 0.000, 0.000), Ce at (0.500, 0.500, 0.000), Pu at (0.000, 0.500, 0.500), Pu at (0.500, 0.000, 0.500), N at (0.253, 0.000, 0.730) and N at (0.269, 0.500, 0.279).


Q: Number 1 is which compound?
A: La2Ce3PuN6


Q: The lowest density of states at the Fermi level belongs to which entry?
A: LaCePu2N4